1.
Material: La4SnPSe2
Method: DFT, PBE
State: optimized geometry

E: -6.10 eV/atom
D(E_F): 2.29 states/eV per cell
space group: P2/m (10)
crystal system: monoclinic
formation energy without anion corrections: -1.588 eV per atom

Lattice parameters (Å, degrees): 4.4027 7.6130 7.6426 70.48 90.00 90.00
Element x y z (fractional)
La  0.5000  0.2596  0.7370
La  0.5000  0.7404  0.2630
La  0.0000  0.2500  0.2601
La  0.0000  0.7500  0.7399
Se  0.5000  0.0000  0.5000
Se  0.0000  0.0000  0.0000
P  0.0000  0.5000  0.5000
Sn  0.5000  0.5000  0.0000

=====

2.
Material: SrLaPSe2
Method: DFT, PBE
State: optimized geometry

E: -4.23 eV/atom
D(E_F): 4.65 states/eV per cell
space group: P4/mmm (123)
crystal system: tetragonal
formation energy without anion corrections: -0.429 eV per atom

Lattice parameters (Å, degrees): 5.5433 5.2387 5.5433 90.00 90.00 90.00
Element x y z (fractional)
Sr  0.0000  0.0000  0.0000
Se  0.0000  0.0000  0.5000
Se  0.5000  0.0000  0.0000
La  0.5000  0.5000  0.5000
P  0.0000  0.5000  0.0000

=====

3.
Material: La6TeP3Se2
Method: DFT, PBE
State: optimized geometry

E: -6.45 eV/atom
D(E_F): 5.07 states/eV per cell
space group: C2/m (12)
crystal system: monoclinic
formation energy without anion corrections: -1.788 eV per atom

Lattice parameters (Å, degrees): 4.3103 8.7492 9.7593 104.19 102.76 90.00
Element x y z (fractional)
La  0.3256  0.9245  0.6511
La  0.9964  0.2704  0.9928
La  0.0036  0.7296  0.0072
La  0.6629  0.5921  0.3258
La  0.6744  0.0755  0.3489
La  0.3371  0.4079  0.6742
P  0.5000  0.5000  0.0000
P  0.1659  0.8316  0.3317
P  0.8341  0.1684  0.6683
Se  0.1675  0.3337  0.3350
Se  0.8325  0.6663  0.6650
Te  0.5000  0.0000  0.0000

=====

D(E_F) of number 3 (La6TeP3Se2)? 5.07 states/eV per cell